This record from Alexandria describes crystalline Nb2TcWO at its relaxed geometry. The functional is PBE+U.

```
data_Nb2TcWO
_cell_length_a 5.059
_cell_length_b 5.059
_cell_length_c 3.693
_cell_angle_alpha 90.00
_cell_angle_beta 90.00
_cell_angle_gamma 90.00
_space_group_name_H-M_alt 'P 4/m m m'
_space_group_IT_number 123
_space_group_name_Hall '-P 4 2'
loop_
_atom_site_label
_atom_site_type_symbol
_atom_site_fract_x
_atom_site_fract_y
_atom_site_fract_z
Nb1 Nb 0.000 0.500 0.000
Tc1 Tc 0.000 0.000 0.000
W1 W 0.500 0.500 0.500
O1 O 0.000 0.000 0.500
```

Crystal system = tetragonal
Calculated total energy = -7.678 eV/atom
M_tot = 0.37 μB per atom
N(E_F) = 5.1 states/eV/cell